(1)
Density functional theory data (PBE) for a geometry-optimized Na2Ac3S3O2 structure.

Lattice parameters (Å, degrees): 4.3153 4.3153 26.5566 90.00 90.00 90.00
Space group I4/mmm (No. 139)
Unique sites:
Na (0.0000, 0.5000, 0.2500) (multiplicity 4)
Ac (0.0000, 0.0000, 0.0000) (multiplicity 2)
Ac (0.0000, 0.0000, 0.3715) (multiplicity 4)
S (0.0000, 0.0000, 0.1144) (multiplicity 4)
S (0.0000, 0.0000, 0.5000) (multiplicity 2)
O (0.0000, 0.0000, 0.2895) (multiplicity 4)

Calculated values
D(E_F), states/eV/f.u.: 2.2
Uncorrected energy, eV/atom: -5.815
Magnetization, μB per formula unit: 0.00



(2)
Density functional theory data (PBE) for a geometry-optimized NaAcSO structure.

Lattice parameters (Å, degrees): 3.5216 3.5216 13.3994 90.00 90.00 90.00
Space group I4mm (No. 107)
Unique sites:
Na (0.0000, 0.0000, 0.0000) (multiplicity 2)
Ac (0.0000, 0.0000, 0.7431) (multiplicity 2)
S (0.0000, 0.0000, 0.3940) (multiplicity 2)
O (0.0000, 0.0000, 0.1721) (multiplicity 2)

Calculated values
D(E_F), states/eV/f.u.: 0.6
Uncorrected energy, eV/atom: -5.563
Magnetization, μB per formula unit: 0.00



(3)
Density functional theory data (PBE) for a geometry-optimized NaAc2SO5 structure.

Lattice parameters (Å, degrees): 7.2540 7.2540 11.8208 90.00 90.00 90.00
Space group I4/mcm (No. 140)
Unique sites:
Na (0.0000, 0.0000, 0.2500) (multiplicity 4)
Ac (0.1785, 0.3215, 0.0000) (multiplicity 8)
S (0.0000, 0.5000, 0.2500) (multiplicity 4)
O (0.0000, 0.0000, 0.0000) (multiplicity 4)
O (0.1296, 0.3704, 0.3734) (multiplicity 16)

Calculated values
D(E_F), states/eV/f.u.: 3.0
Uncorrected energy, eV/atom: -6.177
Magnetization, μB per formula unit: 1.03



(4)
Density functional theory data (PBE) for a geometry-optimized NaAcS2O6 structure.

Lattice parameters (Å, degrees): 5.3388 5.3388 18.8032 90.00 90.00 120.00
Space group R-3 (No. 148, hexagonal axes)
Unique sites:
Na (0.0000, 0.0000, 0.0000) (multiplicity 3)
Ac (0.0000, 0.0000, 0.5000) (multiplicity 3)
S (0.0000, 0.0000, 0.2791) (multiplicity 6)
O (0.0282, 0.2787, 0.7542) (multiplicity 18)

Calculated values
D(E_F), states/eV/f.u.: 0.0
Uncorrected energy, eV/atom: -6.345
Magnetization, μB per formula unit: 0.00



(5)
Density functional theory data (PBE) for a geometry-optimized NaAc2SO6 structure.

Lattice parameters (Å, degrees): 5.5545 5.5545 4.2874 90.00 90.00 90.00
Space group P4mm (No. 99)
Unique sites:
Na (0.0000, 0.0000, 0.0000) (multiplicity 1)
Ac (0.0000, 0.5000, 0.4779) (multiplicity 2)
S (0.5000, 0.5000, 0.0111) (multiplicity 1)
O (0.0000, 0.0000, 0.5048) (multiplicity 1)
O (0.2808, 0.2808, 0.0432) (multiplicity 4)
O (0.5000, 0.5000, 0.6326) (multiplicity 1)

Calculated values
D(E_F), states/eV/f.u.: 0.7
Uncorrected energy, eV/atom: -6.466
Magnetization, μB per formula unit: 1.00



(6)
Density functional theory data (PBE) for a geometry-optimized NaAcSO4 structure.

Lattice parameters (Å, degrees): 7.5089 7.6051 8.9954 90.00 90.00 90.00
Space group Imma (No. 74)
Unique sites:
Na (0.2500, 0.2500, 0.2500) (multiplicity 4)
Ac (0.0000, 0.0000, 0.0000) (multiplicity 4)
S (0.0000, 0.2500, 0.5973) (multiplicity 4)
O (0.0000, 0.0887, 0.6939) (multiplicity 8)
O (0.2011, 0.2500, 0.0136) (multiplicity 8)

Calculated values
D(E_F), states/eV/f.u.: 0.0
Uncorrected energy, eV/atom: -5.994
Magnetization, μB per formula unit: 0.00



(7)
Density functional theory data (PBE) for a geometry-optimized NaAcSbO4 structure.

Lattice parameters (Å, degrees): 6.5974 7.6412 9.5228 90.00 90.00 90.00
Space group Imma (No. 74)
Unique sites:
Na (0.2500, 0.2500, 0.2500) (multiplicity 4)
Ac (0.0000, 0.0000, 0.0000) (multiplicity 4)
Sb (0.0000, 0.2500, 0.6338) (multiplicity 4)
O (0.0000, 0.0201, 0.7406) (multiplicity 8)
O (0.2473, 0.2500, 0.5040) (multiplicity 8)

Calculated values
D(E_F), states/eV/f.u.: 1.7
Uncorrected energy, eV/atom: -6.178
Magnetization, μB per formula unit: 0.00



(8)
Density functional theory data (PBE) for a geometry-optimized Na3Ac3SbO8 structure.

Lattice parameters (Å, degrees): 7.4176 7.4176 16.9024 90.00 90.00 120.00
Space group R-3m (No. 166, hexagonal axes)
Unique sites:
Na (0.0000, 0.5000, 0.0000) (multiplicity 9)
Ac (0.0000, 0.5000, 0.5000) (multiplicity 9)
Sb (0.0000, 0.0000, 0.5000) (multiplicity 3)
O (0.0000, 0.0000, 0.2406) (multiplicity 6)
O (0.0473, 0.5236, 0.2342) (multiplicity 18)

Calculated values
D(E_F), states/eV/f.u.: 1.6
Uncorrected energy, eV/atom: -6.294
Magnetization, μB per formula unit: 0.00



(9)
Density functional theory data (PBE) for a geometry-optimized Na2AcSbO structure.

Lattice parameters (Å, degrees): 4.9048 4.9048 4.9963 90.00 90.00 90.00
Space group P4/mmm (No. 123)
Unique sites:
Na (0.0000, 0.5000, 0.0000) (multiplicity 2)
Ac (0.0000, 0.0000, 0.5000) (multiplicity 1)
Sb (0.5000, 0.5000, 0.5000) (multiplicity 1)
O (0.0000, 0.0000, 0.0000) (multiplicity 1)

Calculated values
D(E_F), states/eV/f.u.: 0.3
Uncorrected energy, eV/atom: -4.596
Magnetization, μB per formula unit: 0.00



(10)
Density functional theory data (PBE) for a geometry-optimized Na2AcSbO4 structure.

Lattice parameters (Å, degrees): 3.9188 16.1886 10.2832 90.00 90.00 90.00
Space group Cmcm (No. 63)
Unique sites:
Na (0.0000, 0.0831, 0.0484) (multiplicity 8)
Ac (0.0000, 0.4576, 0.2500) (multiplicity 4)
Sb (0.0000, 0.2472, 0.7500) (multiplicity 4)
O (0.0000, 0.0371, 0.2500) (multiplicity 4)
O (0.0000, 0.1655, 0.6175) (multiplicity 8)
O (0.0000, 0.5000, 0.0000) (multiplicity 4)

Calculated values
D(E_F), states/eV/f.u.: 3.2
Uncorrected energy, eV/atom: -5.607
Magnetization, μB per formula unit: 0.17



(11)
Density functional theory data (PBE) for a geometry-optimized NaAc2SbO6 structure.

Lattice parameters (Å, degrees): 5.6800 5.6800 5.0879 90.00 90.00 90.00
Space group P4mm (No. 99)
Unique sites:
Na (0.0000, 0.0000, 0.0000) (multiplicity 1)
Ac (0.0000, 0.5000, 0.4479) (multiplicity 2)
Sb (0.5000, 0.5000, 0.0283) (multiplicity 1)
O (0.0000, 0.0000, 0.5538) (multiplicity 1)
O (0.2676, 0.2676, 0.1460) (multiplicity 4)
O (0.5000, 0.5000, 0.6441) (multiplicity 1)

Calculated values
D(E_F), states/eV/f.u.: 0.0
Uncorrected energy, eV/atom: -6.705
Magnetization, μB per formula unit: 0.08



(12)
Density functional theory data (PBE) for a geometry-optimized Na2Ac4Sb3O2 structure.

Lattice parameters (Å, degrees): 5.1877 5.1877 26.1009 90.00 90.00 90.00
Space group I4/mmm (No. 139)
Unique sites:
Na (0.0000, 0.0000, 0.2052) (multiplicity 4)
Ac (0.0000, 0.5000, 0.0910) (multiplicity 8)
Sb (0.0000, 0.0000, 0.3261) (multiplicity 4)
Sb (0.0000, 0.0000, 0.5000) (multiplicity 2)
O (0.0000, 0.0000, 0.0961) (multiplicity 4)

Calculated values
D(E_F), states/eV/f.u.: 2.0
Uncorrected energy, eV/atom: -5.222
Magnetization, μB per formula unit: 0.00